{"formula": "K5Rb4S", "functional": "GGA-PBE", "state": "optimized geometry", "e_form_raw_ev_per_atom": -0.271, "total_magnetization_mub_per_atom": 0.00, "cell": [[-7.425, 7.425, 3.193], [7.425, -7.425, 3.193], [7.425, 7.425, -3.193]], "species": ["K", "K", "K", "K", "K", "Rb", "Rb", "Rb", "Rb", "S"], "frac_coords": [[0.000, 0.000, 0.000], [0.352, 0.352, 0.704], [0.352, 0.648, 0.000], [0.648, 0.352, 0.000], [0.648, 0.648, 0.296], [0.000, 0.331, 0.331], [0.000, 0.669, 0.669], [0.331, 0.000, 0.331], [0.669, 0.000, 0.669], [0.500, 0.500, 0.000]]}


{"formula": "BePbAu3", "functional": "GGA-PBE", "state": "optimized geometry", "ef_mev_per_atom": -59, "total_magnetization_mub_per_atom": 0.00, "e_above_lowest_polymorph_ev_per_atom": 0.008, "cell": [[5.869, -3.283, 0.000], [5.869, 3.283, 0.000], [-0.080, 0.000, 5.018]], "species": ["Be", "Be", "Pb", "Pb", "Au", "Au", "Au", "Au", "Au", "Au"], "frac_coords": [[0.105, 0.105, 0.163], [0.895, 0.895, 0.837], [0.352, 0.352, 0.495], [0.648, 0.648, 0.505], [0.000, 0.500, 0.000], [0.106, 0.106, 0.631], [0.288, 0.712, 0.000], [0.500, 0.000, 0.000], [0.712, 0.288, 0.000], [0.894, 0.894, 0.369]]}


{"formula": "LaPrNi3", "functional": "GGA-PBE", "state": "optimized geometry", "ef_mev_per_atom": -311, "total_magnetization_mub_per_atom": 0.00, "cell": [[2.008, -12.543, 0.000], [2.008, 12.543, 0.000], [0.000, 0.000, 4.094]], "species": ["La", "La", "Pr", "Pr", "Ni", "Ni", "Ni", "Ni", "Ni", "Ni"], "frac_coords": [[0.070, 0.930, 0.750], [0.930, 0.070, 0.250], [0.202, 0.798, 0.250], [0.798, 0.202, 0.750], [0.328, 0.672, 0.250], [0.382, 0.618, 0.750], [0.476, 0.524, 0.750], [0.524, 0.476, 0.250], [0.618, 0.382, 0.250], [0.672, 0.328, 0.750]]}